Pu2PBr: optimized geometry, PBE.

Cell: 3.5131 3.5131 7.4839 Å, 90.00 90.00 90.00°
Last column: nearest neighbours and their distance in Å.
Sites, in units of the cell vectors:
Pu (0.0000, 0.0000, 0.2088)  4 P 2.93, 1 Pu 3.13
Pu (0.0000, 0.0000, 0.7912)  4 P 2.93, 1 Pu 3.13
P (0.5000, 0.5000, 0.0000)  8 Pu 2.93
Br (0.5000, 0.5000, 0.5000)  8 Pu 3.30, 4 Br 3.51

Properties
D(E_F), states/eV per atom: 3.042
Mass density, Mg/m³: 10.767
Energy relative to the elements, uncorrected, meV/atom: -986

***

Pu2PBr: optimized geometry, PBE.

Cell: 3.9607 3.9607 22.6160 Å, 90.00 90.00 120.00°
Last column: nearest neighbours and their distance in Å.
Sites, in units of the cell vectors:
Pu (0.0000, 0.0000, 0.0000)  3 P 2.80
Pu (0.0000, 0.0000, 0.1922)  3 P 2.77
Pu (0.3333, 0.6667, 0.6667)  3 P 2.80
Pu (0.3333, 0.6667, 0.8589)  3 P 2.77
Pu (0.6667, 0.3333, 0.3333)  3 P 2.80
Pu (0.6667, 0.3333, 0.5256)  3 P 2.77
P (0.0000, 0.0000, 0.5949)  6 Pu 2.77-2.80
P (0.3333, 0.6667, 0.2616)  6 Pu 2.77-2.80
P (0.6667, 0.3333, 0.9282)  6 Pu 2.77-2.80
Br (0.0000, 0.0000, 0.7648)  6 Pu 3.12-3.19
Br (0.3333, 0.6667, 0.4315)  6 Pu 3.12-3.19
Br (0.6667, 0.3333, 0.0981)  6 Pu 3.12-3.19

Properties
D(E_F), states/eV per atom: 4.464
Mass density, Mg/m³: 9.710
Energy relative to the elements, uncorrected, meV/atom: -1084

***

RbPBr2: optimized geometry, PBE.

Cell: 7.9199 7.9199 7.9199 Å, 90.00 90.00 90.00°
Last column: nearest neighbours and their distance in Å.
Sites, in units of the cell vectors:
Rb (0.0000, 0.0000, 0.0000)  8 Br 3.43
Rb (0.0000, 0.5000, 0.5000)  8 Br 3.43
Rb (0.5000, 0.0000, 0.5000)  8 Br 3.43
Rb (0.5000, 0.5000, 0.0000)  8 Br 3.43
P (0.0000, 0.0000, 0.5000)  8 Br 3.43
P (0.0000, 0.5000, 0.0000)  8 Br 3.43
P (0.5000, 0.0000, 0.0000)  8 Br 3.43
P (0.5000, 0.5000, 0.5000)  8 Br 3.43
Br (0.2500, 0.2500, 0.2500)  4 Rb 3.43, 4 P 3.43
Br (0.2500, 0.2500, 0.7500)  4 Rb 3.43, 4 P 3.43
Br (0.2500, 0.7500, 0.2500)  4 Rb 3.43, 4 P 3.43
Br (0.2500, 0.7500, 0.7500)  4 Rb 3.43, 4 P 3.43
Br (0.7500, 0.2500, 0.2500)  4 Rb 3.43, 4 P 3.43
Br (0.7500, 0.2500, 0.7500)  4 Rb 3.43, 4 P 3.43
Br (0.7500, 0.7500, 0.2500)  4 Rb 3.43, 4 P 3.43
Br (0.7500, 0.7500, 0.7500)  4 Rb 3.43, 4 P 3.43

Properties
D(E_F), states/eV per atom: 2.160
Mass density, Mg/m³: 3.694
Energy relative to the elements, uncorrected, meV/atom: -59

***

RbPBr2: optimized geometry, PBE.

Cell: 6.3231 6.3231 16.1963 Å, 90.00 90.00 90.00°
Last column: nearest neighbours and their distance in Å.
Sites, in units of the cell vectors:
Rb (0.0000, 0.0000, 0.0000)  4 Br 3.49
Rb (0.0000, 0.5000, 0.2500)  4 Br 3.49
Rb (0.5000, 0.0000, 0.7500)  4 Br 3.49
Rb (0.5000, 0.5000, 0.5000)  4 Br 3.49
P (0.0000, 0.0000, 0.5000)  4 Br 2.69
P (0.0000, 0.5000, 0.7500)  4 Br 2.69
P (0.5000, 0.0000, 0.2500)  4 Br 2.69
P (0.5000, 0.5000, 0.0000)  4 Br 2.69
Br (0.1256, 0.2500, 0.6250)  2 P 2.69
Br (0.2500, 0.6256, 0.8750)  2 P 2.69
Br (0.2500, 0.8744, 0.3750)  2 P 2.69
Br (0.3744, 0.2500, 0.1250)  2 P 2.69
Br (0.6256, 0.7500, 0.1250)  2 P 2.69
Br (0.7500, 0.1256, 0.3750)  2 P 2.69
Br (0.7500, 0.3744, 0.8750)  2 P 2.69
Br (0.8744, 0.7500, 0.6250)  2 P 2.69

Properties
D(E_F), states/eV per atom: 0.001
Mass density, Mg/m³: 2.834
Energy relative to the elements, uncorrected, meV/atom: -361

***

RbP2Br: optimized geometry, PBE.

Cell: 4.4524 4.4524 31.9198 Å, 90.00 90.00 90.00°
Last column: nearest neighbours and their distance in Å.
Sites, in units of the cell vectors:
Rb (0.0000, 0.2500, 0.3750)  4 Br 3.15
Rb (0.0000, 0.7500, 0.6250)  4 Br 3.15
Rb (0.5000, 0.2500, 0.1250)  4 Br 3.15
Rb (0.5000, 0.7500, 0.8750)  4 Br 3.15
P (0.0000, 0.0000, 0.0000)  2 P 2.23
P (0.0000, 0.5000, 0.0000)  2 P 2.23
P (0.2500, 0.2500, 0.7500)  2 P 2.23
P (0.2500, 0.7500, 0.2500)  2 P 2.23
P (0.5000, 0.0000, 0.5000)  2 P 2.23
P (0.5000, 0.5000, 0.5000)  2 P 2.23
P (0.7500, 0.2500, 0.7500)  2 P 2.23
P (0.7500, 0.7500, 0.2500)  2 P 2.23
Br (0.0000, 0.2500, 0.8750)  4 Rb 3.15
Br (0.0000, 0.7500, 0.1250)  4 Rb 3.15
Br (0.5000, 0.2500, 0.6250)  4 Rb 3.15
Br (0.5000, 0.7500, 0.3750)  4 Rb 3.15

Properties
D(E_F), states/eV per atom: 0.362
Mass density, Mg/m³: 2.386
Energy relative to the elements, uncorrected, meV/atom: -136

***

RbP3Br: optimized geometry, PBE.

Cell: 5.1280 5.1280 5.1280 Å, 90.00 90.00 90.00°
Last column: nearest neighbours and their distance in Å.
Sites, in units of the cell vectors:
Rb (0.0000, 0.0000, 0.0000)  12 P 3.63
P (0.0000, 0.5000, 0.5000)  2 Br 2.56
P (0.5000, 0.0000, 0.5000)  2 Br 2.56
P (0.5000, 0.5000, 0.0000)  2 Br 2.56
Br (0.5000, 0.5000, 0.5000)  6 P 2.56

Properties
D(E_F), states/eV per atom: 1.210
Mass density, Mg/m³: 3.181
Energy relative to the elements, uncorrected, meV/atom: 1069

***

RbPBr6: optimized geometry, PBE.

Cell: 7.6361 7.6361 7.6361 Å, 57.09 57.09 57.09°
Last column: nearest neighbours and their distance in Å.
Sites, in units of the cell vectors:
Rb (0.0000, 0.0000, 0.0000)  12 Br 4.07
P (0.5000, 0.5000, 0.5000)  6 Br 2.38
Br (0.1206, 0.5815, 0.5815)  1 P 2.38
Br (0.4185, 0.4185, 0.8794)  1 P 2.38
Br (0.4185, 0.8794, 0.4185)  1 P 2.38
Br (0.5815, 0.1206, 0.5815)  1 P 2.38
Br (0.5815, 0.5815, 0.1206)  1 P 2.38
Br (0.8794, 0.4185, 0.4185)  1 P 2.38

Properties
D(E_F), states/eV per atom: 0.399
Mass density, Mg/m³: 3.369
Energy relative to the elements, uncorrected, meV/atom: -523

***

Rb3PBr: optimized geometry, PBE.

Cell: 6.4579 6.4579 6.4579 Å, 90.00 90.00 90.00°
Last column: nearest neighbours and their distance in Å.
Sites, in units of the cell vectors:
Rb (0.0000, 0.0000, 0.5000)  2 P 3.23
Rb (0.0000, 0.5000, 0.0000)  2 P 3.23
Rb (0.5000, 0.0000, 0.0000)  2 P 3.23
P (0.0000, 0.0000, 0.0000)  6 Rb 3.23
Br (0.5000, 0.5000, 0.5000)  12 Rb 4.57

Properties
D(E_F), states/eV per atom: 0.652
Mass density, Mg/m³: 2.265
Energy relative to the elements, uncorrected, meV/atom: -555